Below is a relaxed CdRhW2 crystal, with properties calculated at the GGA-PBE level.

Cell and atoms, written as CIF:
```
data_CdRhW2
_symmetry_space_group_name_H-M 'R 3 m'
_symmetry_Int_Tables_number 160
_symmetry_space_group_name_Hall 'R 3 -2"'
_cell_length_a 2.8396
_cell_length_b 2.8396
_cell_length_c 28.6093
_cell_angle_alpha 90.00
_cell_angle_beta 90.00
_cell_angle_gamma 120.00
loop_
_atom_site_label
_atom_site_type_symbol
_atom_site_fract_x
_atom_site_fract_y
_atom_site_fract_z
Cd1 Cd 0.0000 0.0000 0.0000
Rh1 Rh 0.0000 0.0000 0.2476
W1 W 0.0000 0.0000 0.5078
W2 W 0.0000 0.0000 0.7567
```

## Properties
- Electronic total energy: -8.316 eV per atom
- Calculated formation energy: 0.23 eV/atom

***

Below is a relaxed RbLi3Nb crystal, with properties calculated at the GGA-PBE level.

Cell and atoms, written as CIF:
```
data_RbLi3Nb
_symmetry_space_group_name_H-M 'P m -3 m'
_symmetry_Int_Tables_number 221
_symmetry_space_group_name_Hall '-P 4 2 3'
_cell_length_a 4.962
_cell_length_b 4.962
_cell_length_c 4.962
_cell_angle_alpha 90.00
_cell_angle_beta 90.00
_cell_angle_gamma 90.00
loop_
_atom_site_label
_atom_site_type_symbol
_atom_site_fract_x
_atom_site_fract_y
_atom_site_fract_z
Rb1 Rb 0.000 0.000 0.000
Li1 Li 0.000 0.000 0.500
Nb1 Nb 0.500 0.500 0.500
```

## Properties
- Electronic total energy: -1.966 eV per atom
- Relative energy among the computed polymorphs: 436 meV/atom
- Calculated formation energy: 1.39 eV/atom

***

Below is a relaxed Mn2ZnAg crystal, with properties calculated at the GGA-PBE level.

Cell and atoms, written as CIF:
```
data_Mn2ZnAg
_symmetry_space_group_name_H-M 'I -4 m 2'
_symmetry_Int_Tables_number 119
_symmetry_space_group_name_Hall 'I -4 -2'
_cell_length_a 3.921
_cell_length_b 3.921
_cell_length_c 7.961
_cell_angle_alpha 90.00
_cell_angle_beta 90.00
_cell_angle_gamma 90.00
loop_
_atom_site_label
_atom_site_type_symbol
_atom_site_fract_x
_atom_site_fract_y
_atom_site_fract_z
Mn1 Mn 0.000 0.000 0.000
Mn2 Mn 0.000 0.500 0.250
Zn1 Zn 0.000 0.500 0.750
Ag1 Ag 0.000 0.000 0.500
```

## Properties
- Electronic total energy: -5.336 eV per atom
- Calculated formation energy: 0.28 eV/atom

***

Below is a relaxed TbNdTm2S4 crystal, with properties calculated at the GGA-PBE level.

Cell and atoms, written as CIF:
```
data_TbNdTm2S4
_symmetry_space_group_name_H-M 'P 1 2/m 1'
_symmetry_Int_Tables_number 10
_cell_length_a 6.749
_cell_length_b 3.864
_cell_length_c 6.911
_cell_angle_alpha 90.00
_cell_angle_beta 108.72
_cell_angle_gamma 90.00
loop_
_symmetry_equiv_pos_as_xyz
'x,y,z'
'-x,-y,-z'
'-x,y,-z'
'x,-y,z'
loop_
_atom_site_label
_atom_site_type_symbol
_atom_site_fract_x
_atom_site_fract_y
_atom_site_fract_z
Tb1 Tb 0.000 0.000 0.000
Nd1 Nd 0.500 0.500 0.000
Tm1 Tm 0.000 0.500 0.500
Tm2 Tm 0.500 0.000 0.500
S1 S 0.239 0.000 0.732
S2 S 0.249 0.500 0.263
```

## Properties
- Electronic total energy: -6.330 eV per atom
- E_form (uncorrected): -1974 meV per atom

***

Below is a relaxed LaZnRu2 crystal, with properties calculated at the GGA-PBE level.

Cell and atoms, written as CIF:
```
data_LaZnRu2
_symmetry_space_group_name_H-M 'I -4 m 2'
_symmetry_Int_Tables_number 119
_symmetry_space_group_name_Hall 'I -4 -2'
_cell_length_a 3.908
_cell_length_b 3.908
_cell_length_c 9.433
_cell_angle_alpha 90.00
_cell_angle_beta 90.00
_cell_angle_gamma 90.00
loop_
_atom_site_label
_atom_site_type_symbol
_atom_site_fract_x
_atom_site_fract_y
_atom_site_fract_z
La1 La 0.000 0.000 0.000
Zn1 Zn 0.000 0.500 0.250
Ru1 Ru 0.000 0.000 0.500
Ru2 Ru 0.000 0.500 0.750
```

## Properties
- Electronic total energy: -5.995 eV per atom
- Calculated formation energy: 0.19 eV/atom

***

Below is a relaxed SrLaB crystal, with properties calculated at the GGA-PBE level.

Cell and atoms, written as CIF:
```
data_SrLaB
_symmetry_space_group_name_H-M 'P -1'
_symmetry_Int_Tables_number 2
_cell_length_a 3.333
_cell_length_b 7.421
_cell_length_c 7.456
_cell_angle_alpha 85.95
_cell_angle_beta 77.18
_cell_angle_gamma 89.91
loop_
_symmetry_equiv_pos_as_xyz
'x,y,z'
'-x,-y,-z'
loop_
_atom_site_label
_atom_site_type_symbol
_atom_site_fract_x
_atom_site_fract_y
_atom_site_fract_z
Sr1 Sr 0.145 0.182 0.213
La1 La 0.391 0.330 0.717
B1 B 0.244 0.527 0.012
```

## Properties
- Electronic total energy: -4.404 eV per atom
- Relative energy among the computed polymorphs: 5 meV/atom
- Calculated formation energy: 0.02 eV/atom

***

Below is a relaxed GaSi2Ni5Pt2 crystal, with properties calculated at the GGA-PBE level.

Cell and atoms, written as CIF:
```
data_GaSi2Ni5Pt2
_symmetry_space_group_name_H-M 'P 4/m b m'
_symmetry_Int_Tables_number 127
_symmetry_space_group_name_Hall '-P 4 2ab'
_cell_length_a 8.340
_cell_length_b 8.340
_cell_length_c 3.594
_cell_angle_alpha 90.00
_cell_angle_beta 90.00
_cell_angle_gamma 90.00
loop_
_atom_site_label
_atom_site_type_symbol
_atom_site_fract_x
_atom_site_fract_y
_atom_site_fract_z
Ga1 Ga 0.000 0.000 0.000
Si1 Si 0.127 0.373 0.000
Ni1 Ni 0.000 0.500 0.500
Ni2 Ni 0.073 0.201 0.500
Pt1 Pt 0.170 0.670 0.000
```

## Properties
- Electronic total energy: -5.951 eV per atom
- E_form (uncorrected): -465 meV per atom

***

Below is a relaxed La3CdI3 crystal, with properties calculated at the GGA-PBE level.

Cell and atoms, written as CIF:
```
data_La3CdI3
_symmetry_space_group_name_H-M 'P m -3 m'
_symmetry_Int_Tables_number 221
_symmetry_space_group_name_Hall '-P 4 2 3'
_cell_length_a 6.478
_cell_length_b 6.478
_cell_length_c 6.478
_cell_angle_alpha 90.00
_cell_angle_beta 90.00
_cell_angle_gamma 90.00
loop_
_atom_site_label
_atom_site_type_symbol
_atom_site_fract_x
_atom_site_fract_y
_atom_site_fract_z
La1 La 0.000 0.000 0.500
Cd1 Cd 0.000 0.000 0.000
I1 I 0.000 0.500 0.500
```

## Properties
- Electronic total energy: -3.879 eV per atom
- E_form (uncorrected): -972 meV per atom

***

Below is a relaxed CrAs2PdSe crystal, with properties calculated at the GGA-PBE level.

Cell and atoms, written as CIF:
```
data_CrAs2PdSe
_symmetry_space_group_name_H-M 'P 4/m m m'
_symmetry_Int_Tables_number 123
_symmetry_space_group_name_Hall '-P 4 2'
_cell_length_a 4.620
_cell_length_b 4.620
_cell_length_c 4.712
_cell_angle_alpha 90.00
_cell_angle_beta 90.00
_cell_angle_gamma 90.00
loop_
_atom_site_label
_atom_site_type_symbol
_atom_site_fract_x
_atom_site_fract_y
_atom_site_fract_z
Cr1 Cr 0.000 0.000 0.000
As1 As 0.000 0.500 0.000
Pd1 Pd 0.500 0.500 0.500
Se1 Se 0.000 0.000 0.500
```

## Properties
- Electronic total energy: -5.079 eV per atom
- Relative energy among the computed polymorphs: 0 meV/atom
- E_form (uncorrected): 441 meV per atom

***

Below is a relaxed CeNd4Y4 crystal, with properties calculated at the GGA-PBE level.

Cell and atoms, written as CIF:
```
data_CeNd4Y4
_symmetry_space_group_name_H-M 'I 4/m m m'
_symmetry_Int_Tables_number 139
_symmetry_space_group_name_Hall '-I 4 2'
_cell_length_a 10.834
_cell_length_b 10.834
_cell_length_c 5.139
_cell_angle_alpha 90.00
_cell_angle_beta 90.00
_cell_angle_gamma 90.00
loop_
_atom_site_label
_atom_site_type_symbol
_atom_site_fract_x
_atom_site_fract_y
_atom_site_fract_z
Ce1 Ce 0.000 0.000 0.000
Nd1 Nd 0.000 0.330 0.000
Y1 Y 0.164 0.164 0.500
```

## Properties
- Electronic total energy: -5.608 eV per atom
- Calculated formation energy: 0.04 eV/atom

***

Below is a relaxed Ta5Mo3 crystal, with properties calculated at the GGA-PBE level.

Cell and atoms, written as CIF:
```
data_Ta5Mo3
_symmetry_space_group_name_H-M 'P m m 2'
_symmetry_Int_Tables_number 25
_cell_length_a 3.234
_cell_length_b 6.485
_cell_length_c 6.563
_cell_angle_alpha 90.00
_cell_angle_beta 90.00
_cell_angle_gamma 90.00
loop_
_symmetry_equiv_pos_as_xyz
'x,y,z'
'-x,-y,z'
'-x,y,z'
'x,-y,z'
loop_
_atom_site_label
_atom_site_type_symbol
_atom_site_fract_x
_atom_site_fract_y
_atom_site_fract_z
Ta1 Ta 0.000 0.000 0.000
Ta2 Ta 0.000 0.000 0.483
Ta3 Ta 0.000 0.500 0.477
Ta4 Ta 0.500 0.255 0.742
Mo1 Mo 0.000 0.500 0.993
Mo2 Mo 0.500 0.253 0.235
```

## Properties
- Electronic total energy: -11.596 eV per atom
- Relative energy among the computed polymorphs: 46 meV/atom
- Calculated formation energy: -0.13 eV/atom

***

Below is a relaxed La2Ni12Ge3Rh crystal, with properties calculated at the GGA-PBE level.

Cell and atoms, written as CIF:
```
data_La2Ni12Ge3Rh
_symmetry_space_group_name_H-M 'R -3 m'
_symmetry_Int_Tables_number 166
_symmetry_space_group_name_Hall '-R 3 2"'
_cell_length_a 8.5949
_cell_length_b 8.5949
_cell_length_c 12.1115
_cell_angle_alpha 90.00
_cell_angle_beta 90.00
_cell_angle_gamma 120.00
loop_
_atom_site_label
_atom_site_type_symbol
_atom_site_fract_x
_atom_site_fract_y
_atom_site_fract_z
La1 La 0.0000 0.0000 0.1614
Ni1 Ni 0.0042 0.5021 0.3923
Ni2 Ni 0.0063 0.5031 0.1979
Ge1 Ge 0.0000 0.5000 0.0000
Rh1 Rh 0.0000 0.0000 0.5000
```

## Properties
- Electronic total energy: -5.576 eV per atom
- Calculated formation energy: 0.00 eV/atom